## a
Below is a relaxed structure of HfPCS2, with properties calculated at the PBE level.

The structure belongs to space group P4/mmm (No. 123); the cell edges are 4.8680, 4.8680 and 5.1523 Å and the angles 90.00°, 90.00° and 90.00°. The inequivalent atoms are Hf at (0.0000, 0.0000, 0.0000), P at (0.0000, 0.0000, 0.5000), C at (0.5000, 0.5000, 0.5000) and S at (0.0000, 0.5000, 0.0000).


## b
Below is a relaxed structure of HfPCS2, with properties calculated at the PBE level.

The structure belongs to space group P4/mmm (No. 123); the cell edges are 4.1224, 4.1224 and 4.1159 Å and the angles 90.00°, 90.00° and 90.00°. The inequivalent atoms are Hf at (0.0000, 0.0000, 0.0000), P at (0.5000, 0.5000, 0.0000), C at (0.5000, 0.5000, 0.5000) and S at (0.0000, 0.5000, 0.5000).


Compare the structures above. Which one is the least stable? a is.